# 1
A geometry-optimized Ca2SnBi4 structure. Source: Alexandria via LeMat-Bulk, functional PBE.

abc: 6.873 6.873 6.877
angles: 119.91 119.91 90.53
Sites, in units of the cell vectors:
Bi  0.786  0.786  0.072
Bi  0.286  0.286  0.071
Ca  0.786  0.286  0.571
Ca  0.286  0.786  0.571
Sn  0.786  0.786  0.571
Bi  0.286  0.786  0.071
Bi  0.786  0.286  0.071

Properties
Relative energy among the computed polymorphs ... 0.000 eV per atom
DFT total energy ... -3.782 eV/atom

***

# 2
A geometry-optimized Ca2SnBi5 structure. Source: Alexandria via LeMat-Bulk, functional PBE.

abc: 6.908 8.643 6.907
angles: 128.71 120.00 90.00
Sites, in units of the cell vectors:
Sn  0.221  0.264  0.443
Bi  0.753  0.752  0.006
Bi  0.723  0.681  0.446
Ca  0.721  0.252  0.443
Bi  0.191  0.193  0.883
Ca  0.223  0.692  0.446
Bi  0.691  0.193  0.883
Bi  0.253  0.752  0.006

Properties
Relative energy among the computed polymorphs ... 0.017 eV per atom
DFT total energy ... -3.787 eV/atom

***

# 3
A geometry-optimized CaSn4Bi structure. Source: Alexandria via LeMat-Bulk, functional PBE.

abc: 6.288 6.288 6.288
angles: 60.00 60.00 60.00
Sites, in units of the cell vectors:
Sn  0.625  0.625  0.625
Bi  0.250  0.250  0.250
Ca  0.000  0.000  0.000
Sn  0.625  0.625  0.126
Sn  0.126  0.625  0.625
Sn  0.625  0.126  0.625

Properties
DFT total energy ... -3.783 eV/atom

***

# 4
A geometry-optimized Ca6Sn3Bi structure. Source: Alexandria via LeMat-Bulk, functional PBE.

abc: 8.510 7.961 10.232
angles: 90.00 89.82 90.00
Sites, in units of the cell vectors:
Ca  0.331  0.837  0.072
Ca  0.669  0.156  0.569
Ca  0.221  0.056  0.750
Sn  0.036  0.659  0.259
Ca  0.779  0.944  0.250
Ca  0.831  0.656  0.931
Ca  0.169  0.337  0.428
Ca  0.169  0.344  0.069
Ca  0.721  0.444  0.250
Ca  0.669  0.163  0.928
Bi  0.000  0.000  0.000
Ca  0.331  0.844  0.431
Bi  0.500  0.500  0.500
Ca  0.279  0.556  0.750
Sn  0.536  0.841  0.759
Sn  0.464  0.159  0.241
Sn  0.500  0.500  0.000
Ca  0.831  0.663  0.572
Sn  0.964  0.341  0.741
Sn  0.000  0.000  0.500

Properties
DFT total energy ... -3.303 eV/atom

***

# 5
A geometry-optimized CaSnBi structure. Source: Alexandria via LeMat-Bulk, functional PBE.

abc: 3.450 5.542 5.542
angles: 120.00 90.00 90.00
Sites, in units of the cell vectors:
Sn  0.164  0.333  0.667
Ca  0.667  0.667  0.333
Bi  0.169  0.000  0.000

Properties
Relative energy among the computed polymorphs ... 0.109 eV per atom
DFT total energy ... -3.667 eV/atom

***

# 6
A geometry-optimized Ca5SnBi2 structure. Source: Alexandria via LeMat-Bulk, functional PBE.

abc: 7.471 7.471 6.990
angles: 122.30 122.30 90.01
Sites, in units of the cell vectors:
Ca  0.714  0.714  0.945
Ca  0.231  0.231  0.945
Ca  0.231  0.714  0.945
Sn  0.201  0.201  0.403
Bi  0.723  0.223  0.446
Ca  0.714  0.231  0.945
Bi  0.223  0.723  0.446
Ca  0.740  0.740  0.479

Properties
DFT total energy ... -3.227 eV/atom